1.
KSrI2, optimized geometry, DFT GGA-PBE; raw total energy = -10.8 eV per cell; distance to the lowest polymorph of the same formula = 19 meV/atom; formation energy from raw total energies = -4.95 eV per formula unit; space group = R-3m; density of states at the Fermi level = 1.17 states/eV/f.u.
1.0
2.3883 1.3789 11.7379
-2.3883 1.3789 11.7379
0.0000 -2.7577 11.7379
K Sr I
1 1 2
direct
0.0000 0.0000 0.0000 K
0.5000 0.5000 0.5000 Sr
0.1142 0.1142 0.1142 I
0.8858 0.8858 0.8858 I

2.
K2Sr3I8, optimized geometry, DFT GGA-PBE; raw total energy = -40.9 eV per cell; formation energy from raw total energies = -21.28 eV per formula unit; space group = C2/m; density of states at the Fermi level = 0.00 states/eV/f.u.
1.0
8.7469 -4.8779 0.0000
8.7469 4.8779 0.0000
-2.6535 0.0000 7.9019
K Sr I
2 3 8
direct
0.2326 0.2326 0.1538 K
0.7674 0.7674 0.8462 K
0.2415 0.7585 0.5000 Sr
0.5000 0.5000 0.0000 Sr
0.7585 0.2415 0.5000 Sr
0.1156 0.1156 0.4335 I
0.1549 0.6168 0.1009 I
0.3832 0.8451 0.8991 I
0.3916 0.3916 0.5905 I
0.6084 0.6084 0.4095 I
0.6168 0.1549 0.1009 I
0.8451 0.3832 0.8991 I
0.8844 0.8844 0.5665 I

3.
KSr3I7, optimized geometry, DFT GGA-PBE; raw total energy = -34.8 eV per cell; formation energy from raw total energies = -17.82 eV per formula unit; space group = C2/m; density of states at the Fermi level = 0.00 states/eV/f.u.
1.0
5.3577 -6.0930 0.0000
5.3577 6.0930 0.0000
-2.9619 0.0000 7.7360
K Sr I
1 3 7
direct
0.0000 0.0000 0.0000 K
0.2721 0.7279 0.5000 Sr
0.5000 0.5000 0.0000 Sr
0.7279 0.2721 0.5000 Sr
0.0000 0.0000 0.5000 I
0.1228 0.5415 0.7688 I
0.3451 0.3451 0.2733 I
0.4585 0.8772 0.2312 I
0.5415 0.1228 0.7688 I
0.6549 0.6549 0.7267 I
0.8772 0.4585 0.2312 I

4.
KSrI2, optimized geometry, DFT GGA-PBE; raw total energy = -10.3 eV per cell; distance to the lowest polymorph of the same formula = 154 meV/atom; formation energy from raw total energies = -4.41 eV per formula unit; space group = Fm-3m; density of states at the Fermi level = 2.45 states/eV/f.u.
1.0
0.0000 4.2773 4.2773
4.2773 0.0000 4.2773
4.2773 4.2773 0.0000
K Sr I
1 1 2
direct
0.0000 0.0000 0.0000 K
0.5000 0.5000 0.5000 Sr
0.2500 0.2500 0.2500 I
0.7500 0.7500 0.7500 I